# VTc2PBr

A relaxed structure of VTc2PBr (GGA-PBE, Alexandria via LeMat-Bulk).

As for the formation energy without anion corrections: 1.3382 eV/atom. For the density of states at the Fermi level, the calculation gives 1.50 states/eV per atom.

It has space group P4/mmm (No. 123), with a = 4.396 Å, b = 4.396 Å, c = 5.155 Å, α = 90.00°, β = 90.00° and γ = 90.00°. The distinct sites, in fractional coordinates, are V at (0.000, 0.000, 0.000), Tc at (0.000, 0.500, 0.500), P at (0.500, 0.500, 0.500) and Br at (0.500, 0.500, 0.000).